3
Lattice="4.565 0.000 0.000 -2.283 3.953 0.000 0.000 0.000 2.618" Properties=species:S:1:pos:R:3 comment="Mo2Au, PBEsol geometry, DFT SCAN" sg="P-3m1 (164)" formation_enthalpy_0k_ev_per_atom=0.25 dos_ef_per_ev_atom=0.772 de_polymorph_mev_per_atom=29 total_magnetization_mub_per_fu=0.0 pbc="T T T"
Mo 0.000 2.636 0.955
Mo 2.283 1.318 1.662
Au 0.000 0.000 0.000